The following is a PBE calculation of a relaxed structure of AgHgF2, from Alexandria via LeMat-Bulk.

**Formation energy without anion corrections**: -3.8 eV per formula unit
**Space group**: No. 8
**Energy above the lowest structure with this stoichiometry**: 0.00 eV per formula unit
**V**: 16.2 A^3/atom

Unit cell a=3.281 b=3.281 c=7.219 alpha=77.14 beta=77.14 gamma=59.91
Element x y z (fractional)
F 0.077 0.077 0.768
Ag 0.667 0.667 0.000
Hg 0.500 0.500 0.500
F 0.256 0.256 0.232

---

The following is a PBE calculation of a relaxed structure of Ag2Hg4F3, from Alexandria via LeMat-Bulk.

**Formation energy without anion corrections**: -6.1 eV per formula unit
**Space group**: No. 15
**V**: 21.0 A^3/atom

Unit cell a=6.091 b=8.503 c=8.503 alpha=114.99 beta=99.79 gamma=99.79
Element x y z (fractional)
Ag 0.472 0.237 0.369
Hg 0.586 0.471 0.788
F 0.750 0.528 0.472
Hg 0.914 0.212 0.529
F 0.921 0.898 0.748
Hg 0.531 0.886 0.244
F 0.421 0.748 0.898
F 0.579 0.252 0.102
Hg 0.086 0.788 0.471
F 0.079 0.102 0.252
Ag 0.528 0.763 0.631
F 0.250 0.472 0.528
Hg 0.414 0.529 0.212
Hg 0.031 0.244 0.886
Hg 0.469 0.114 0.756
Ag 0.028 0.631 0.763
Hg 0.969 0.756 0.114
Ag 0.972 0.369 0.237

---

The following is a PBE calculation of a relaxed structure of AgHgF6, from Alexandria via LeMat-Bulk.

**Formation energy without anion corrections**: -8.3 eV per formula unit
**Space group**: No. 12
**Energy above the lowest structure with this stoichiometry**: 0.17 eV per formula unit
**V**: 16.6 A^3/atom

Unit cell a=5.503 b=5.607 c=5.217 alpha=57.50 beta=83.26 gamma=77.39
Element x y z (fractional)
F 0.281 0.551 0.301
Ag 0.500 0.500 0.000
F 0.719 0.449 0.699
F 0.281 0.852 0.699
F 0.246 0.231 0.000
F 0.719 0.148 0.301
F 0.754 0.769 0.000
Hg 0.000 0.000 0.000

---

The following is a PBE calculation of a relaxed structure of AgHgF2, from Alexandria via LeMat-Bulk.

**Formation energy without anion corrections**: -3.7 eV per formula unit
**Space group**: No. 166
**Energy above the lowest structure with this stoichiometry**: 0.03 eV per formula unit
**V**: 17.6 A^3/atom

Unit cell a=8.084 b=8.084 c=8.084 alpha=22.91 beta=22.91 gamma=22.91
Element x y z (fractional)
Hg 0.500 0.500 0.500
F 0.912 0.912 0.912
Ag 0.000 0.000 0.000
F 0.088 0.088 0.088

---

The following is a PBE calculation of a relaxed structure of AgHg3F4, from Alexandria via LeMat-Bulk.

**Formation energy without anion corrections**: -8.4 eV per formula unit
**Space group**: No. 31
**Energy above the lowest structure with this stoichiometry**: 0.00 eV per formula unit
**V**: 18.9 A^3/atom

Unit cell a=6.548 b=5.747 c=8.051 alpha=90.00 beta=90.00 gamma=90.00
Element x y z (fractional)
Hg 0.949 0.759 0.750
F 0.335 0.974 0.000
Hg 0.142 0.223 0.500
Hg 0.642 0.777 0.000
Ag 0.967 0.095 0.000
F 0.533 0.652 0.285
F 0.033 0.348 0.785
F 0.108 0.644 0.500
Hg 0.949 0.759 0.250
F 0.608 0.356 0.000
F 0.533 0.652 0.715
Hg 0.449 0.241 0.250
F 0.033 0.348 0.215
F 0.835 0.026 0.500
Hg 0.449 0.241 0.750
Ag 0.467 0.905 0.500

---

The following is a PBE calculation of a relaxed structure of AgHgF, from Alexandria via LeMat-Bulk.

**Formation energy without anion corrections**: -2.1 eV per formula unit
**Space group**: No. 156
**Energy above the lowest structure with this stoichiometry**: 0.21 eV per formula unit
**V**: 18.8 A^3/atom

Unit cell a=3.446 b=3.446 c=5.477 alpha=90.00 beta=90.00 gamma=120.00
Element x y z (fractional)
Hg 0.000 0.000 0.990
Ag 0.667 0.333 0.369
F 0.333 0.667 0.640